# 1
AcLaTh2Sb4: optimized geometry, PBE-GGA.

Cell and atoms, written as POSCAR:
```
AcLaTh2Sb4
1.0
4.596 0.000 0.000
0.000 8.002 -0.171
0.000 2.804 7.444
Ac La Th Sb
1 1 2 4
Cartesian
2.298 4.001 -0.085
0.000 5.403 3.637
0.000 2.804 7.444
2.298 1.402 3.722
0.000 8.190 5.389
4.596 2.616 1.884
2.298 6.788 1.735
2.298 4.019 5.538
```

Output
DFT total energy ... -49.01 eV per cell
E_form (uncorrected) ... -8.65 eV per formula unit


# 2
SrSm3Se4: optimized geometry, PBE-GGA.

Cell and atoms, written as POSCAR:
```
SrSm3Se4
1.0
4.203 0.000 0.000
0.000 7.335 -0.045
0.000 -2.355 6.947
Sr Sm Se
1 3 4
Cartesian
2.101 0.000 0.000
0.000 -1.177 3.473
2.101 2.490 3.451
0.000 3.668 -0.022
0.000 1.280 1.775
2.101 4.885 1.723
0.000 3.700 5.128
2.101 0.095 5.179
```

Output
DFT total energy ... -44.59 eV per cell
E_form (uncorrected) ... -14.82 eV per formula unit


# 3
MgHg2P: optimized geometry, PBE-GGA.

Cell and atoms, written as POSCAR:
```
MgHg2P
1.0
5.239 -0.085 0.040
0.919 5.159 -0.040
-2.522 -3.214 3.282
Hg Mg P
2 1 1
Cartesian
6.051 4.985 0.000
0.811 2.300 1.621
3.256 2.682 0.000
2.757 -0.498 1.661
```

Output
DFT total energy ... -7.17 eV per cell
Energy relative to the elements ... 0.44 eV/f.u.


# 4
ErInCu: optimized geometry, PBE-GGA.

Cell and atoms, written as POSCAR:
```
ErInCu
1.0
4.595 0.000 0.000
2.298 3.979 0.000
2.298 1.326 3.752
In Cu Er
1 1 1
Cartesian
4.595 2.653 1.876
2.298 1.326 0.938
0.000 0.000 0.000
```

Output
DFT total energy ... -12.30 eV per cell
Energy relative to the elements ... -0.90 eV/f.u.


# 5
HfZrZn2Ag: optimized geometry, PBE-GGA.

Cell and atoms, written as POSCAR:
```
HfZrZn2Ag
1.0
-1.466 0.967 4.611
-4.283 -2.395 -0.860
2.049 -4.217 1.536
Zn Hf Zr Ag
2 1 1 1
Cartesian
1.025 -2.109 0.768
-0.733 0.484 2.305
0.000 0.000 0.000
-1.850 -2.822 2.644
-2.141 -1.197 -0.430
```

Output
DFT total energy ... -18.71 eV per cell
Energy relative to the elements ... 5.19 eV/f.u.


# 6
ThVGe: optimized geometry, PBE-GGA.

Cell and atoms, written as POSCAR:
```
ThVGe
1.0
3.848 0.000 0.000
0.000 4.491 0.000
0.000 -2.245 3.889
Ge Th V
1 1 1
Cartesian
0.641 0.000 2.593
2.566 2.245 1.296
0.641 0.000 0.000
```

Output
DFT total energy ... -21.83 eV per cell
Energy relative to the elements ... -0.67 eV/f.u.


# 7
FeHg2Pd2: optimized geometry, PBE-GGA.

Cell and atoms, written as POSCAR:
```
FeHg2Pd2
1.0
7.358 0.000 0.000
0.000 7.358 0.000
0.000 0.000 3.444
Hg Pd Fe
4 4 2
Cartesian
2.578 6.257 0.000
6.257 4.779 0.000
4.779 1.100 0.000
1.100 2.578 0.000
1.106 4.785 1.722
4.785 6.251 1.722
6.251 2.572 1.722
2.572 1.106 1.722
0.000 0.000 0.000
3.679 3.679 0.000
```

Output
Energy relative to the lowest polymorph listed for this composition ... 0.82 eV/f.u.
DFT total energy ... -36.03 eV per cell
Energy relative to the elements ... 1.44 eV/f.u.